A plane-wave DFT calculation with GGA-PBE was carried out for crystalline Li3Sn2Au4 at its relaxed geometry.

Computed properties:
* calculated total energy: -3.419 eV per atom

a = 4.7182 Å, b = 4.7182 Å, c = 8.7176 Å
α = 94.34°, β = 94.34°, γ = 57.55°
With the nearest neighbours (Å) after each atom.
Fractional positions:
Li: 0.0000 0.0000 0.0000  8 Au 2.82-2.97
Li: 0.3419 0.3419 0.4251  4 Au 2.75-2.84, 1 Li 2.82, 1 Sn 3.03
Li: 0.6581 0.6581 0.5749  4 Au 2.75-2.84, 1 Li 2.82, 1 Sn 3.03
Sn: 0.3275 0.3275 0.7714  7 Au 2.84-2.92, 3 Li 3.03-3.11
Sn: 0.6725 0.6725 0.2286  7 Au 2.84-2.92, 3 Li 3.03-3.11
Au: 0.0134 0.0134 0.3418  4 Li 2.75-2.97, 1 Au 2.79, 3 Sn 2.84-2.91
Au: 0.3366 0.3366 0.0987  4 Li 2.82-2.84, 4 Sn 2.85-2.92, 2 Au 3.12
Au: 0.6634 0.6634 0.9013  4 Li 2.82-2.84, 4 Sn 2.85-2.92, 2 Au 3.12
Au: 0.9866 0.9866 0.6582  4 Li 2.75-2.97, 1 Au 2.79, 3 Sn 2.84-2.91



A plane-wave DFT calculation with GGA-PBE was carried out for crystalline Li2SnAu2 at its relaxed geometry.

Computed properties:
* calculated total energy: -3.340 eV per atom
* E above lowest polymorph: 0.00 eV/f.u.

a = 7.4623 Å, b = 7.4623 Å, c = 3.1906 Å
α = 90.00°, β = 90.00°, γ = 90.00°
With the nearest neighbours (Å) after each atom.
Fractional positions:
Li: 0.1584 0.3416 0.0000  6 Au 2.68-2.73
Li: 0.3416 0.8416 0.0000  6 Au 2.68-2.73
Li: 0.6584 0.1584 0.0000  6 Au 2.68-2.73
Li: 0.8416 0.6584 0.0000  6 Au 2.68-2.73
Sn: 0.0000 0.0000 0.5000  4 Au 2.89, 2 Sn 3.19, 8 Li 3.23
Sn: 0.5000 0.5000 0.5000  4 Au 2.89, 2 Sn 3.19, 8 Li 3.23
Au: 0.1373 0.6373 0.5000  6 Li 2.68-2.73, 2 Sn 2.89, 1 Au 2.90
Au: 0.3627 0.1373 0.5000  6 Li 2.68-2.73, 2 Sn 2.89, 1 Au 2.90
Au: 0.6373 0.8627 0.5000  6 Li 2.68-2.73, 2 Sn 2.89, 1 Au 2.90
Au: 0.8627 0.3627 0.5000  6 Li 2.68-2.73, 2 Sn 2.89, 1 Au 2.90



A plane-wave DFT calculation with GGA-PBE was carried out for crystalline LiSn2Au at its relaxed geometry.

Computed properties:
* calculated total energy: -3.463 eV per atom

a = 4.9834 Å, b = 4.9834 Å, c = 4.9834 Å
α = 60.00°, β = 60.00°, γ = 60.00°
With the nearest neighbours (Å) after each atom.
Fractional positions:
Li: 0.0000 0.0000 0.0000  4 Sn 3.05, 4 Au 3.05
Sn: 0.5000 0.5000 0.5000  4 Sn 3.05, 4 Au 3.05
Sn: 0.7500 0.7500 0.7500  4 Sn 3.05, 4 Li 3.05
Au: 0.2500 0.2500 0.2500  4 Sn 3.05, 4 Li 3.05



A plane-wave DFT calculation with GGA-PBE was carried out for crystalline Li8Sn2Au at its relaxed geometry.

Computed properties:
* calculated total energy: -2.804 eV per atom

a = 10.4289 Å, b = 10.4289 Å, c = 10.4289 Å
α = 25.23°, β = 25.23°, γ = 25.23°
With the nearest neighbours (Å) after each atom.
Fractional positions:
Li: 0.0864 0.0864 0.0864  1 Au 2.61, 4 Li 2.69-2.70, 3 Sn 2.80
Li: 0.1755 0.1755 0.1755  5 Li 2.68-2.74, 3 Sn 2.90
Li: 0.2660 0.2660 0.2660  8 Li 2.69-2.92
Li: 0.3585 0.3585 0.3585  3 Au 2.74, 1 Sn 2.80, 7 Li 2.80-3.04
Li: 0.6415 0.6415 0.6415  3 Au 2.74, 1 Sn 2.80, 7 Li 2.80-3.04
Li: 0.7340 0.7340 0.7340  8 Li 2.69-2.92
Li: 0.8245 0.8245 0.8245  5 Li 2.68-2.74, 3 Sn 2.90
Li: 0.9136 0.9136 0.9136  1 Au 2.61, 4 Li 2.69-2.70, 3 Sn 2.80
Sn: 0.4510 0.4510 0.4510  10 Li 2.80-3.04, 1 Sn 2.96
Sn: 0.5490 0.5490 0.5490  10 Li 2.80-3.04, 1 Sn 2.96
Au: 0.0000 0.0000 0.0000  8 Li 2.61-2.74



A plane-wave DFT calculation with GGA-PBE was carried out for crystalline LiSnTe4Au3 at its relaxed geometry.

Computed properties:
* calculated total energy: -3.246 eV per atom
* E above lowest polymorph: 0.52 eV/f.u.

a = 6.4557 Å, b = 6.4557 Å, c = 6.4557 Å
α = 90.00°, β = 90.00°, γ = 90.00°
With the nearest neighbours (Å) after each atom.
Fractional positions:
Li: 0.0000 0.0000 0.0000  4 Te 2.63
Sn: 0.5000 0.5000 0.5000  4 Te 2.96, 6 Au 3.23
Te: 0.2349 0.2349 0.2349  1 Li 2.63, 3 Au 2.86
Te: 0.2349 0.7651 0.7651  1 Li 2.63, 3 Au 2.86
Te: 0.7651 0.2349 0.7651  1 Li 2.63, 3 Au 2.86
Te: 0.7651 0.7651 0.2349  1 Li 2.63, 3 Au 2.86
Au: 0.0000 0.5000 0.5000  4 Te 2.86
Au: 0.5000 0.0000 0.5000  4 Te 2.86
Au: 0.5000 0.5000 0.0000  4 Te 2.86



A plane-wave DFT calculation with GGA-PBE was carried out for crystalline LiSnTe4Au3 at its relaxed geometry.

Computed properties:
* calculated total energy: -3.304 eV per atom
* E above lowest polymorph: 0.00 eV/f.u.

a = 6.4457 Å, b = 9.0517 Å, c = 8.9970 Å
α = 90.00°, β = 96.93°, γ = 90.00°
With the nearest neighbours (Å) after each atom.
Fractional positions:
Li: 0.1522 0.2500 0.0742  1 Au 2.73, 3 Te 2.92-2.93
Li: 0.8478 0.7500 0.9258  1 Au 2.73, 3 Te 2.92-2.93
Sn: 0.2841 0.7500 0.2621  1 Au 2.79, 4 Te 2.91-2.99
Sn: 0.7159 0.2500 0.7379  1 Au 2.79, 4 Te 2.91-2.99
Te: 0.0131 0.0070 0.7804  3 Au 2.75-3.03, 1 Sn 2.91, 1 Li 2.93
Te: 0.0131 0.4930 0.7804  3 Au 2.75-3.03, 1 Sn 2.91, 1 Li 2.93
Te: 0.4008 0.7500 0.9500  1 Au 2.74, 1 Li 2.92, 1 Sn 2.99
Te: 0.4916 0.2500 0.4295  2 Au 2.71, 1 Sn 2.97
Te: 0.5084 0.7500 0.5705  2 Au 2.71, 1 Sn 2.97
Te: 0.5992 0.2500 0.0500  1 Au 2.74, 1 Li 2.92, 1 Sn 2.99
Te: 0.9869 0.5070 0.2196  3 Au 2.75-3.03, 1 Sn 2.91, 1 Li 2.93
Te: 0.9869 0.9930 0.2196  3 Au 2.75-3.03, 1 Sn 2.91, 1 Li 2.93
Au: 0.1933 0.0778 0.5281  3 Te 2.71-3.03, 2 Au 2.85-2.94
Au: 0.1933 0.4222 0.5281  3 Te 2.71-3.03, 2 Au 2.85-2.94
Au: 0.3034 0.2500 0.8036  1 Li 2.73, 3 Te 2.74-2.88, 1 Sn 2.79, 2 Au 2.94
Au: 0.6966 0.7500 0.1964  1 Li 2.73, 3 Te 2.74-2.88, 1 Sn 2.79, 2 Au 2.94
Au: 0.8067 0.5778 0.4719  3 Te 2.71-3.03, 2 Au 2.85-2.94
Au: 0.8067 0.9222 0.4719  3 Te 2.71-3.03, 2 Au 2.85-2.94



A plane-wave DFT calculation with GGA-PBE was carried out for crystalline Li2TlSnAu2 at its relaxed geometry.

Computed properties:
* calculated total energy: -3.153 eV per atom

a = 4.8009 Å, b = 4.8009 Å, c = 6.0867 Å
α = 90.00°, β = 90.00°, γ = 120.00°
With the nearest neighbours (Å) after each atom.
Fractional positions:
Li: 0.0000 0.0000 0.2480  2 Li 3.02-3.07, 3 Sn 3.16, 6 Au 3.16-3.17, 3 Tl 3.17
Li: 0.0000 0.0000 0.7520  2 Li 3.02-3.07, 3 Sn 3.16, 6 Au 3.16-3.17, 3 Tl 3.17
Tl: 0.3333 0.6667 0.5000  5 Au 2.77-3.04
Sn: 0.6667 0.3333 0.0000  5 Au 2.77-3.04
Au: 0.3333 0.6667 0.0000  3 Sn 2.77, 2 Tl 3.04
Au: 0.6667 0.3333 0.5000  3 Tl 2.77, 2 Sn 3.04



A plane-wave DFT calculation with GGA-PBE was carried out for crystalline Li4ZnSnAu2 at its relaxed geometry.

Computed properties:
* calculated total energy: -2.912 eV per atom

a = 4.4857 Å, b = 4.4857 Å, c = 6.3794 Å
α = 90.00°, β = 90.00°, γ = 90.00°
With the nearest neighbours (Å) after each atom.
Fractional positions:
Li: 0.0000 0.0000 0.0000  4 Au 2.82, 4 Li 2.85
Li: 0.0000 0.5000 0.7243  4 Li 2.66-2.85, 2 Zn 2.66, 2 Sn 2.85, 1 Au 2.92
Li: 0.5000 0.0000 0.2757  4 Li 2.66-2.85, 2 Zn 2.66, 2 Sn 2.85, 1 Au 2.92
Li: 0.5000 0.5000 0.5000  4 Li 2.66, 4 Au 2.69
Zn: 0.0000 0.0000 0.5000  4 Li 2.66, 4 Au 2.69
Sn: 0.5000 0.5000 0.0000  4 Au 2.82, 4 Li 2.85
Au: 0.0000 0.5000 0.2673  5 Li 2.69-2.92, 2 Zn 2.69, 2 Sn 2.82
Au: 0.5000 0.0000 0.7327  5 Li 2.69-2.92, 2 Zn 2.69, 2 Sn 2.82



A plane-wave DFT calculation with GGA-PBE was carried out for crystalline LiZrSnAu at its relaxed geometry.

Computed properties:
* calculated total energy: -4.880 eV per atom
* size of the total moment: 0.00 μB per cell
* E above lowest polymorph: 0.00 eV/f.u.

a = 4.8169 Å, b = 4.8169 Å, c = 4.8169 Å
α = 60.00°, β = 60.00°, γ = 60.00°
With the nearest neighbours (Å) after each atom.
Fractional positions:
Li: 0.0000 0.0000 0.0000  4 Sn 2.95, 4 Au 2.95
Zr: 0.5000 0.5000 0.5000  4 Sn 2.95, 4 Au 2.95
Sn: 0.2500 0.2500 0.2500  4 Zr 2.95, 4 Li 2.95
Au: 0.7500 0.7500 0.7500  4 Zr 2.95, 4 Li 2.95



A plane-wave DFT calculation with GGA-PBE was carried out for crystalline LiZrSnAu at its relaxed geometry.

Computed properties:
* calculated total energy: -4.664 eV per atom
* size of the total moment: 0.00 μB per cell
* E above lowest polymorph: 0.87 eV/f.u.

a = 4.7726 Å, b = 4.7726 Å, c = 4.7726 Å
α = 60.00°, β = 60.00°, γ = 60.00°
With the nearest neighbours (Å) after each atom.
Fractional positions:
Li: 0.0000 0.0000 0.0000  4 Zr 2.92, 4 Sn 2.92
Zr: 0.7500 0.7500 0.7500  4 Li 2.92, 4 Au 2.92
Sn: 0.2500 0.2500 0.2500  4 Au 2.92, 4 Li 2.92
Au: 0.5000 0.5000 0.5000  4 Zr 2.92, 4 Sn 2.92



A plane-wave DFT calculation with GGA-PBE was carried out for crystalline LiZrSnAu at its relaxed geometry.

Computed properties:
* calculated total energy: -4.631 eV per atom
* size of the total moment: 0.00 μB per cell
* E above lowest polymorph: 1.00 eV/f.u.

a = 4.7697 Å, b = 4.7697 Å, c = 4.7697 Å
α = 60.00°, β = 60.00°, γ = 60.00°
With the nearest neighbours (Å) after each atom.
Fractional positions:
Li: 0.0000 0.0000 0.0000  4 Au 2.92, 4 Zr 2.92
Zr: 0.2500 0.2500 0.2500  4 Sn 2.92, 4 Li 2.92
Sn: 0.5000 0.5000 0.5000  4 Au 2.92, 4 Zr 2.92
Au: 0.7500 0.7500 0.7500  4 Li 2.92, 4 Sn 2.92



A plane-wave DFT calculation with GGA-PBE was carried out for crystalline Li2Ta3Au at its relaxed geometry.

Computed properties:
* calculated total energy: -6.550 eV per atom
* size of the total moment: 0.00 μB per cell

a = 3.7933 Å, b = 3.7933 Å, c = 6.7033 Å
α = 90.00°, β = 90.00°, γ = 90.00°
With the nearest neighbours (Å) after each atom.
Fractional positions:
Li: 0.0000 0.5000 0.2399  7 Ta 2.52-2.77, 2 Au 2.58
Li: 0.5000 0.0000 0.7601  7 Ta 2.52-2.77, 2 Au 2.58
Ta: 0.0000 0.5000 0.8639  5 Li 2.52-2.77
Ta: 0.5000 0.0000 0.1361  5 Li 2.52-2.77
Ta: 0.5000 0.5000 0.5000  4 Li 2.58, 4 Au 2.68
Au: 0.0000 0.0000 0.5000  4 Li 2.58, 4 Ta 2.68